Entry 1:
This record from Alexandria via LeMat-Bulk describes an optimized crystal structure of Pr6NdTl3. The functional is PBE.

Lattice parameters (Å, degrees): 7.9680 9.6541 9.6541 111.15 90.00 90.00
Atoms (fractional coordinates):
1 Pr 0.6057 0.6962 0.7666
2 Pr 0.1057 0.3038 0.2334
3 Pr 0.6317 0.2987 0.7013
4 Pr 0.7914 0.9222 0.5430
5 Pr 0.2931 0.9528 0.0472
6 Pr 0.1057 0.7666 0.6962
7 Pr 0.7914 0.4570 0.0778
8 Pr 0.6057 0.2334 0.3038
9 Pr 0.7931 0.0472 0.9528
10 Pr 0.2914 0.0778 0.4570
11 Pr 0.1317 0.7013 0.2987
12 Pr 0.2914 0.5430 0.9222
13 Tl 0.9326 0.7216 0.9857
14 Tl 0.4326 0.9857 0.7216
15 Tl 0.3137 0.4443 0.5557
16 Tl 0.9326 0.0143 0.2784
17 Tl 0.8137 0.5557 0.4443
18 Tl 0.4326 0.2784 0.0143
19 Nd 0.0876 0.2074 0.7926
20 Nd 0.5876 0.7926 0.2074

Computed properties:
The value obtained for the final energy is -41.70 eV/f.u. As for the mass density: 7.7 g/cm³.

***

Entry 2:
This record from Alexandria via LeMat-Bulk describes an optimized crystal structure of ThSb2AuN. The functional is PBE.

Lattice parameters (Å, degrees): 4.0399 4.0399 15.4912 90.00 90.00 90.00
Atoms (fractional coordinates):
1 Au 0.0000 0.5000 0.8926
2 Au 0.5000 0.0000 0.1074
3 Sb 0.5000 0.0000 0.2804
4 Sb 0.0000 0.5000 0.7196
5 Sb 0.5000 0.0000 0.9292
6 Sb 0.0000 0.5000 0.0708
7 Th 0.0000 0.5000 0.4244
8 Th 0.5000 0.0000 0.5756
9 N 0.0000 0.0000 0.5000
10 N 0.5000 0.5000 0.5000

Computed properties:
As for the mass density: 9.0 g/cm³. The formation energy from raw total energies comes out at -0.72 eV/atom.

***

Entry 3:
This record from Alexandria via LeMat-Bulk describes an optimized crystal structure of ZrTeAs2Cl. The functional is PBE.

Lattice parameters (Å, degrees): 4.7619 5.3377 4.7619 90.00 90.00 90.00
Atoms (fractional coordinates):
1 Cl 0.0000 0.0000 0.0000
2 As 0.5000 0.0000 0.0000
3 As 0.0000 0.0000 0.5000
4 Zr 0.5000 0.5000 0.5000
5 Te 0.0000 0.5000 0.0000

Computed properties:
As for the mass density: 5.5 g/cm³. The formation energy from raw total energies comes out at 0.65 eV/atom.

***

Entry 4:
This record from Alexandria via LeMat-Bulk describes an optimized crystal structure of Sc2TeAs. The functional is PBE.

Lattice parameters (Å, degrees): 7.0605 7.0605 7.0605 32.86 32.86 32.86
Atoms (fractional coordinates):
1 As 0.7500 0.7500 0.7500
2 Te 0.2500 0.2500 0.2500
3 Sc 0.4882 0.4882 0.4882
4 Sc 0.0118 0.0118 0.0118

Computed properties:
As for the mass density: 5.3 g/cm³. The formation energy from raw total energies comes out at -1.31 eV/atom.

***

Entry 5:
This record from Alexandria via LeMat-Bulk describes an optimized crystal structure of Pr2Cd3Hg2. The functional is PBE.

Lattice parameters (Å, degrees): 4.8602 5.9279 7.3888 107.89 90.00 114.20
Atoms (fractional coordinates):
1 Cd 0.3951 0.7902 0.5754
2 Cd 0.6049 0.2098 0.4246
3 Cd 0.5000 0.0000 0.0000
4 Hg 0.8387 0.6774 0.7841
5 Hg 0.1613 0.3226 0.2159
6 Pr 0.1430 0.2859 0.7687
7 Pr 0.8570 0.7141 0.2313

Computed properties:
The value obtained for the final energy is -15.40 eV/f.u. As for the mass density: 9.3 g/cm³.

***

Entry 6:
This record from Alexandria via LeMat-Bulk describes an optimized crystal structure of LuZnAgRu. The functional is PBE.

Lattice parameters (Å, degrees): 4.6195 4.6195 4.6195 60.00 60.00 60.00
Atoms (fractional coordinates):
1 Zn 0.0000 0.0000 0.0000
2 Ag 0.7500 0.7500 0.7500
3 Ru 0.2500 0.2500 0.2500
4 Lu 0.5000 0.5000 0.5000

Computed properties:
The value obtained for the final energy is -18.59 eV/f.u. As for the mass density: 10.7 g/cm³.

***

Entry 7:
This record from Alexandria via LeMat-Bulk describes an optimized crystal structure of NdTeBr. The functional is PBE.

Lattice parameters (Å, degrees): 4.2622 5.0052 5.0052 120.00 90.00 90.00
Atoms (fractional coordinates):
1 Br 0.1672 0.3333 0.6667
2 Nd 0.1665 0.0000 0.0000
3 Te 0.6663 0.6667 0.3333

Computed properties:
As for the mass density: 6.3 g/cm³. The formation energy from raw total energies comes out at -1.37 eV/atom.

***

Entry 8:
This record from Alexandria via LeMat-Bulk describes an optimized crystal structure of Ca2InIr. The functional is PBE.

Lattice parameters (Å, degrees): 9.7650 9.7650 9.7650 20.67 20.67 20.67
Atoms (fractional coordinates):
1 Ca 0.4873 0.4873 0.4873
2 Ca 0.0127 0.0127 0.0127
3 In 0.2500 0.2500 0.2500
4 Ir 0.7500 0.7500 0.7500

Computed properties:
The value obtained for the final energy is -15.84 eV/f.u. As for the mass density: 6.3 g/cm³.

***

Entry 9:
This record from Alexandria via LeMat-Bulk describes an optimized crystal structure of Zr2Cl3. The functional is PBE.

Lattice parameters (Å, degrees): 11.9574 11.9574 11.9574 15.73 15.73 15.73
Atoms (fractional coordinates):
1 Zr 0.6060 0.6060 0.6060
2 Zr 0.3940 0.3940 0.3940
3 Cl 0.7784 0.7784 0.7784
4 Cl 0.0000 0.0000 0.0000
5 Cl 0.2216 0.2216 0.2216

Computed properties:
As for the mass density: 4.4 g/cm³. The formation energy from raw total energies comes out at -1.21 eV/atom.

***

Entry 10:
This record from Alexandria via LeMat-Bulk describes an optimized crystal structure of Sm2Tl2TeO6. The functional is PBE.

Lattice parameters (Å, degrees): 6.1101 6.1101 6.8484 98.24 98.24 119.72
Atoms (fractional coordinates):
1 O 0.0508 0.3715 0.6676
2 O 0.9492 0.6285 0.3324
3 O 0.2573 0.2573 0.3284
4 O 0.6285 0.9492 0.3324
5 O 0.7427 0.7427 0.6716
6 O 0.3715 0.0508 0.6676
7 Sm 0.6656 0.3344 0.5000
8 Sm 0.3344 0.6656 0.5000
9 Tl 0.8351 0.1649 0.0000
10 Tl 0.1649 0.8351 0.0000
11 Te 0.0000 0.0000 0.5000

Computed properties:
As for the mass density: 7.3 g/cm³. The formation energy from raw total energies comes out at -1.89 eV/atom.

***

Entry 11:
This record from Alexandria via LeMat-Bulk describes an optimized crystal structure of TmFe2B2. The functional is PBE.

Lattice parameters (Å, degrees): 5.2787 5.2787 5.2787 140.71 140.71 56.78
Atoms (fractional coordinates):
1 Tm 0.0000 0.0000 0.0000
2 Fe 0.2500 0.7500 0.5000
3 Fe 0.7500 0.2500 0.5000
4 B 0.3546 0.3546 0.0000
5 B 0.6454 0.6454 0.0000

Computed properties:
The value obtained for the final energy is -37.04 eV/f.u. As for the mass density: 8.6 g/cm³.

***

Entry 12:
This record from Alexandria via LeMat-Bulk describes an optimized crystal structure of LaThTlC. The functional is PBE.

Lattice parameters (Å, degrees): 3.7491 3.7475 8.8516 90.00 102.30 119.98
Atoms (fractional coordinates):
1 La 0.5205 0.1582 0.6948
2 Tl 0.9657 0.3810 0.3614
3 C 0.3120 0.5539 0.8813
4 Th 0.0796 0.9377 0.0321

Computed properties:
The value obtained for the final energy is -25.08 eV/f.u. As for the mass density: 9.3 g/cm³.

***

Entry 13:
This record from Alexandria via LeMat-Bulk describes an optimized crystal structure of Zr12ZnSn6. The functional is PBE.

Lattice parameters (Å, degrees): 7.5373 7.5373 7.5373 90.82 90.82 90.82
Atoms (fractional coordinates):
1 Sn 0.7363 0.2768 0.1232
2 Sn 0.2637 0.7232 0.8768
3 Sn 0.7232 0.8768 0.2637
4 Sn 0.1232 0.7363 0.2768
5 Sn 0.2768 0.1232 0.7363
6 Sn 0.8768 0.2637 0.7232
7 Zr 0.8607 0.6269 0.9459
8 Zr 0.5223 0.4363 0.8038
9 Zr 0.4777 0.5637 0.1962
10 Zr 0.1962 0.4777 0.5637
11 Zr 0.6269 0.9459 0.8607
12 Zr 0.1393 0.3731 0.0541
13 Zr 0.8038 0.5223 0.4363
14 Zr 0.3731 0.0541 0.1393
15 Zr 0.4363 0.8038 0.5223
16 Zr 0.9459 0.8607 0.6269
17 Zr 0.5637 0.1962 0.4777
18 Zr 0.0541 0.1393 0.3731
19 Zn 0.0000 0.0000 0.0000

Computed properties:
The value obtained for the final energy is -133.38 eV/f.u. As for the mass density: 7.3 g/cm³.

***

Entry 14:
This record from Alexandria via LeMat-Bulk describes an optimized crystal structure of Ca2TeRhN. The functional is PBE.

Lattice parameters (Å, degrees): 5.2312 5.2312 3.8550 90.00 90.00 90.00
Atoms (fractional coordinates):
1 Te 0.5000 0.5000 0.5000
2 Ca 0.5000 0.0000 0.0000
3 Ca 0.0000 0.5000 0.0000
4 Rh 0.0000 0.0000 0.5000
5 N 0.0000 0.0000 0.0000

Computed properties:
As for the mass density: 5.1 g/cm³. The formation energy from raw total energies comes out at -0.88 eV/atom.

***

Entry 15:
This record from Alexandria via LeMat-Bulk describes an optimized crystal structure of HoTl2TeS4. The functional is PBE.

Lattice parameters (Å, degrees): 3.9698 7.7836 7.3712 70.53 90.00 90.00
Atoms (fractional coordinates):
1 Tl 0.0000 0.0000 0.0000
2 Tl 0.5000 0.0000 0.5000
3 Te 0.5000 0.5000 0.0000
4 Ho 0.0000 0.5000 0.5000
5 S 0.0000 0.3112 0.2311
6 S 0.5000 0.7215 0.2965
7 S 0.5000 0.2785 0.7035
8 S 0.0000 0.6888 0.7689

Computed properties:
As for the mass density: 6.4 g/cm³. The formation energy from raw total energies comes out at -0.72 eV/atom.

***

Entry 16:
This record from Alexandria via LeMat-Bulk describes an optimized crystal structure of LiAc2InAu6. The functional is PBE.

Lattice parameters (Å, degrees): 9.2811 5.5622 7.3908 67.90 48.54 90.00
Atoms (fractional coordinates):
1 Ac 0.7193 0.2542 0.4915
2 Ac 0.2807 0.7458 0.5085
3 Au 0.2515 0.7673 0.9659
4 Au 0.2515 0.2669 0.9658
5 Au 0.7485 0.7331 0.0342
6 Au 0.9156 0.7578 0.4844
7 Au 0.0844 0.2422 0.5156
8 Au 0.7485 0.2327 0.0341
9 In 0.5000 0.5000 0.0000
10 Li 0.0000 0.0000 0.0000

Computed properties:
The value obtained for the final energy is -37.84 eV/f.u. As for the mass density: 11.8 g/cm³.

***

Entry 17:
This record from Alexandria via LeMat-Bulk describes an optimized crystal structure of Th2Tc2C3. The functional is PBE.

Lattice parameters (Å, degrees): 3.4260 5.7848 6.2652 113.62 105.87 90.00
Atoms (fractional coordinates):
1 Th 0.3945 0.1897 0.7891
2 Th 0.6055 0.8103 0.2109
3 Tc 0.1574 0.3274 0.3149
4 Tc 0.8426 0.6726 0.6851
5 C 0.7448 0.2680 0.4896
6 C 0.2552 0.7320 0.5104
7 C 0.0000 0.0000 0.0000

Computed properties:
The value obtained for the final energy is -65.21 eV/f.u. As for the mass density: 10.6 g/cm³.

***

Entry 18:
This record from Alexandria via LeMat-Bulk describes an optimized crystal structure of NaGaWBr2. The functional is PBE.

Lattice parameters (Å, degrees): 5.2521 5.6445 5.2521 90.00 90.00 90.00
Atoms (fractional coordinates):
1 Br 0.0000 0.0000 0.5000
2 Br 0.5000 0.0000 0.0000
3 Na 0.0000 0.0000 0.0000
4 W 0.5000 0.5000 0.5000
5 Ga 0.0000 0.5000 0.0000

Computed properties:
As for the mass density: 4.7 g/cm³. The formation energy from raw total energies comes out at 1.04 eV/atom.

***

Entry 19:
This record from Alexandria via LeMat-Bulk describes an optimized crystal structure of SrHf2Ni. The functional is PBE.

Lattice parameters (Å, degrees): 4.8960 4.8960 4.8960 60.00 60.00 60.00
Atoms (fractional coordinates):
1 Sr 0.5000 0.5000 0.5000
2 Hf 0.7500 0.7500 0.7500
3 Hf 0.2500 0.2500 0.2500
4 Ni 0.0000 0.0000 0.0000

Computed properties:
The value obtained for the final energy is -24.54 eV/f.u. As for the mass density: 10.1 g/cm³.

***

Entry 20:
This record from Alexandria via LeMat-Bulk describes an optimized crystal structure of Sc4Cu2NiPd. The functional is PBE.

Lattice parameters (Å, degrees): 4.5977 4.5977 7.9672 73.23 73.23 60.00
Atoms (fractional coordinates):
1 Sc 0.6220 0.6220 0.1340
2 Sc 0.1278 0.1278 0.6167
3 Sc 0.3780 0.3780 0.8660
4 Sc 0.8722 0.8722 0.3833
5 Cu 0.2506 0.2506 0.2482
6 Cu 0.7494 0.7494 0.7518
7 Pd 0.0000 0.0000 0.0000
8 Ni 0.5000 0.5000 0.5000

Computed properties:
The value obtained for the final energy is -48.42 eV/f.u. As for the mass density: 5.7 g/cm³.

***

Entry 21:
This record from Alexandria via LeMat-Bulk describes an optimized crystal structure of TmCo6B3. The functional is PBE.

Lattice parameters (Å, degrees): 5.0023 5.0031 5.5099 94.80 110.97 120.81
Atoms (fractional coordinates):
1 Co 0.6233 0.0994 0.2237
2 Co 0.1238 0.6008 0.2239
3 Co 0.2978 0.8831 0.7013
4 Co 0.8188 0.4035 0.7012
5 Co 0.2415 0.3458 0.5860
6 Co 0.6826 0.6330 0.3187
7 B 0.3379 0.0680 0.4046
8 B 0.5986 0.3617 0.9602
9 B 0.3424 0.6210 0.9634
10 Tm 0.9333 0.9837 0.9171

Computed properties:
The value obtained for the final energy is -70.03 eV/f.u. As for the mass density: 8.8 g/cm³.

***

Entry 22:
This record from Alexandria via LeMat-Bulk describes an optimized crystal structure of ScSnGeAs2. The functional is PBE.

Lattice parameters (Å, degrees): 5.1931 5.4378 5.1931 90.00 90.00 90.00
Atoms (fractional coordinates):
1 Sc 0.0000 0.5000 0.0000
2 As 0.5000 0.0000 0.0000
3 As 0.0000 0.0000 0.5000
4 Ge 0.5000 0.5000 0.5000
5 Sn 0.0000 0.0000 0.0000

Computed properties:
The value obtained for the final energy is -20.35 eV/f.u. As for the mass density: 4.4 g/cm³.

***

Entry 23:
This record from Alexandria via LeMat-Bulk describes an optimized crystal structure of MgSiIrRu. The functional is PBE.

Lattice parameters (Å, degrees): 4.2492 4.2492 4.2492 60.00 60.00 60.00
Atoms (fractional coordinates):
1 Ir 0.0000 0.0000 0.0000
2 Si 0.7500 0.7500 0.7500
3 Mg 0.2500 0.2500 0.2500
4 Ru 0.5000 0.5000 0.5000

Computed properties:
As for the mass density: 10.6 g/cm³. The formation energy from raw total energies comes out at -0.51 eV/atom.

***

Entry 24:
This record from Alexandria via LeMat-Bulk describes an optimized crystal structure of Ti3SbSe. The functional is PBE.

Lattice parameters (Å, degrees): 5.1300 5.1300 5.1300 90.00 90.00 90.00
Atoms (fractional coordinates):
1 Sb 0.0000 0.0000 0.0000
2 Ti 0.0000 0.0000 0.5000
3 Ti 0.5000 0.0000 0.0000
4 Ti 0.0000 0.5000 0.0000
5 Se 0.5000 0.5000 0.5000

Computed properties:
As for the mass density: 4.2 g/cm³. The formation energy from raw total energies comes out at 0.71 eV/atom.

***

Entry 25:
This record from Alexandria via LeMat-Bulk describes an optimized crystal structure of Li2ZrPd4. The functional is PBE.

Lattice parameters (Å, degrees): 6.5461 5.5092 6.7680 105.95 103.49 102.67
Atoms (fractional coordinates):
1 Pd 0.8917 0.5524 0.0535
2 Pd 0.0401 0.2226 0.4391
3 Pd 0.3277 0.9643 0.2184
4 Pd 0.8257 0.6069 0.6210
5 Pd 0.5521 0.7893 0.9069
6 Pd 0.3204 0.4825 0.2488
7 Pd 0.7037 0.0893 0.6428
8 Pd 0.4220 0.2317 0.8923
9 Li 0.4493 0.3789 0.5831
10 Li 0.1609 0.5187 0.8518
11 Li 0.6825 0.2689 0.2441
12 Li 0.6948 0.7817 0.2893
13 Zr 0.9862 0.0473 0.9777
14 Zr 0.1927 0.8154 0.5313

Computed properties:
The value obtained for the final energy is -36.46 eV/f.u. As for the mass density: 8.1 g/cm³.